(1)
Computed, not measured: a geometry-optimized InPBr2 structure at the GGA-PBE level of DFT.

a b c (Å): 5.381 7.368 7.950
angles (deg): 74.30 88.84 75.99
Positions (direct):
1 In 0.000 0.000 0.000
2 In 0.345 0.429 0.005
3 P 0.066 0.643 0.178
4 P 0.176 0.269 0.797
5 Br 0.361 0.652 0.376
6 Br 0.587 0.054 0.763
7 Br 0.691 0.144 0.237
8 Br 0.725 0.546 0.815

Values from the calculation:
The calculation puts the offset from the most stable computed form at 0.066 eV/atom. The value obtained for the spin magnetization is 0.0000 μB per atom. The value obtained for the volume is 36.76 Å³/atom. The raw formation energy comes out at -0.3290 eV/atom.

=====

(2)
Computed, not measured: a geometry-optimized In2PBr structure at the GGA-PBE level of DFT.

a b c (Å): 7.661 7.661 3.852
angles (deg): 90.23 90.23 29.09
Positions (direct):
1 In 0.000 0.000 0.000
2 In 0.191 0.191 0.501
3 P 0.542 0.542 0.501
4 Br 0.810 0.810 0.002

Values from the calculation:
The calculation puts the offset from the most stable computed form at 0.078 eV/atom. The value obtained for the spin magnetization is 0.0000 μB per atom. The value obtained for the volume is 27.48 Å³/atom. The raw formation energy comes out at -0.1446 eV/atom.

=====

(3)
Computed, not measured: a geometry-optimized InPBr2 structure at the GGA-PBE level of DFT.

a b c (Å): 5.854 5.854 4.247
angles (deg): 111.02 111.02 68.22
Positions (direct):
1 In 0.000 0.000 0.000
2 P 0.779 0.221 0.500
3 Br 0.119 0.478 0.797
4 Br 0.522 0.881 0.203

Values from the calculation:
The calculation puts the offset from the most stable computed form at 0.104 eV/atom. The value obtained for the spin magnetization is 0.0000 μB per atom. The value obtained for the volume is 30.45 Å³/atom. The raw formation energy comes out at -0.2905 eV/atom.

=====

(4)
Computed, not measured: a geometry-optimized In2PBr structure at the GGA-PBE level of DFT.

a b c (Å): 5.179 5.179 5.179
angles (deg): 60.00 60.00 60.00
Positions (direct):
1 In 0.000 0.000 0.000
2 In 0.250 0.250 0.250
3 P 0.750 0.750 0.750
4 Br 0.500 0.500 0.500

Values from the calculation:
The calculation puts the offset from the most stable computed form at 0.515 eV/atom. The value obtained for the spin magnetization is 0.0000 μB per atom. The value obtained for the volume is 24.55 Å³/atom. The raw formation energy comes out at 0.2931 eV/atom.

=====

(5)
Computed, not measured: a geometry-optimized In2PBr structure at the GGA-PBE level of DFT.

a b c (Å): 5.339 5.339 3.463
angles (deg): 90.00 90.00 90.00
Positions (direct):
1 In 0.000 0.500 0.000
2 In 0.500 0.000 0.000
3 P 0.000 0.000 0.500
4 Br 0.500 0.500 0.500

Values from the calculation:
The calculation puts the offset from the most stable computed form at 0.257 eV/atom. The value obtained for the spin magnetization is 0.0000 μB per atom. The value obtained for the volume is 24.68 Å³/atom. The raw formation energy comes out at 0.0345 eV/atom.

=====

(6)
Computed, not measured: a geometry-optimized In2PBr structure at the GGA-PBE level of DFT.

a b c (Å): 3.605 3.605 7.543
angles (deg): 90.00 90.00 90.00
Positions (direct):
1 In 0.000 0.000 0.208
2 In 0.000 0.000 0.792
3 P 0.500 0.500 0.000
4 Br 0.500 0.500 0.500

Values from the calculation:
The calculation puts the offset from the most stable computed form at 0.219 eV/atom. The value obtained for the spin magnetization is 0.0000 μB per atom. The value obtained for the volume is 24.51 Å³/atom. The raw formation energy comes out at -0.0028 eV/atom.

=====

(7)
Computed, not measured: a geometry-optimized InPBr2 structure at the GGA-PBE level of DFT.

a b c (Å): 3.806 3.806 9.390
angles (deg): 90.00 90.00 124.20
Positions (direct):
1 In 0.000 0.000 0.000
2 P 0.000 0.000 0.500
3 Br 0.500 0.500 0.301
4 Br 0.500 0.500 0.699

Values from the calculation:
The calculation puts the offset from the most stable computed form at 0.575 eV/atom. The value obtained for the spin magnetization is 0.0000 μB per atom. The value obtained for the volume is 28.12 Å³/atom. The raw formation energy comes out at 0.1800 eV/atom.

=====

(8)
Computed, not measured: a geometry-optimized InPBr2 structure at the GGA-PBE level of DFT.

a b c (Å): 5.287 5.287 3.620
angles (deg): 90.00 90.00 90.00
Positions (direct):
1 In 0.000 0.000 0.000
2 P 0.500 0.500 0.000
3 Br 0.000 0.500 0.500
4 Br 0.500 0.000 0.500

Values from the calculation:
The calculation puts the offset from the most stable computed form at 0.760 eV/atom. The value obtained for the spin magnetization is 0.0000 μB per atom. The value obtained for the volume is 25.30 Å³/atom. The raw formation energy comes out at 0.3655 eV/atom.

=====

(9)
Computed, not measured: a geometry-optimized InPBr4 structure at the GGA-PBE level of DFT.

a b c (Å): 6.421 6.421 6.421
angles (deg): 60.00 60.00 60.00
Positions (direct):
1 In 0.000 0.000 0.000
2 P 0.750 0.750 0.750
3 Br 0.375 0.375 0.375
4 Br 0.375 0.375 0.875
5 Br 0.375 0.875 0.375
6 Br 0.875 0.375 0.375

Values from the calculation:
The value obtained for the spin magnetization is 0.3577 μB per atom. The value obtained for the volume is 31.20 Å³/atom. The raw formation energy comes out at 0.6834 eV/atom.

=====

(10)
Computed, not measured: a geometry-optimized InPBr2 structure at the GGA-PBE level of DFT.

a b c (Å): 4.225 7.128 9.100
angles (deg): 89.19 77.15 85.66
Positions (direct):
1 In 0.000 0.000 0.000
2 In 0.481 0.500 0.039
3 P 0.525 0.177 0.904
4 P 0.915 0.678 0.134
5 Br 0.324 0.705 0.792
6 Br 0.569 0.194 0.656
7 Br 0.607 0.206 0.247
8 Br 0.721 0.697 0.383

Values from the calculation:
The calculation puts the offset from the most stable computed form at 0.006 eV/atom. The value obtained for the spin magnetization is 0.0000 μB per atom. The value obtained for the volume is 33.30 Å³/atom. The raw formation energy comes out at -0.3884 eV/atom.

=====

(11)
Computed, not measured: a geometry-optimized In2PBr structure at the GGA-PBE level of DFT.

a b c (Å): 3.769 3.769 7.816
angles (deg): 90.00 90.00 108.88
Positions (direct):
1 In 0.000 0.000 0.210
2 In 0.000 0.000 0.790
3 P 0.500 0.500 0.000
4 Br 0.500 0.500 0.500

Values from the calculation:
The calculation puts the offset from the most stable computed form at 0.228 eV/atom. The value obtained for the spin magnetization is 0.0000 μB per atom. The value obtained for the volume is 26.26 Å³/atom. The raw formation energy comes out at 0.0059 eV/atom.

=====

(12)
Computed, not measured: a geometry-optimized InPBr2 structure at the GGA-PBE level of DFT.

a b c (Å): 3.634 4.500 6.183
angles (deg): 90.00 90.00 90.00
Positions (direct):
1 In 0.000 0.000 0.000
2 P 0.500 0.000 0.500
3 Br 0.000 0.500 0.500
4 Br 0.500 0.500 0.000

Values from the calculation:
The calculation puts the offset from the most stable computed form at 0.628 eV/atom. The value obtained for the spin magnetization is 0.0000 μB per atom. The value obtained for the volume is 25.28 Å³/atom. The raw formation energy comes out at 0.2329 eV/atom.

=====

Please write out number 5 again, unchanged.
Computed, not measured: a geometry-optimized In2PBr structure at the GGA-PBE level of DFT.

a b c (Å): 5.339 5.339 3.463
angles (deg): 90.00 90.00 90.00
Positions (direct):
1 In 0.000 0.500 0.000
2 In 0.500 0.000 0.000
3 P 0.000 0.000 0.500
4 Br 0.500 0.500 0.500

Values from the calculation:
The calculation puts the offset from the most stable computed form at 0.257 eV/atom. The value obtained for the spin magnetization is 0.0000 μB per atom. The value obtained for the volume is 24.68 Å³/atom. The raw formation energy comes out at 0.0345 eV/atom.